1.
Here is a relaxed structure of LiVCr3 from Alexandria. Energies are from PBE.

Cell: 4.2829 4.2829 4.2829 Å, 90.00 90.00 90.00°
Closest atoms and distances in Å follow each position.
Fractional coordinates of all 5 atoms:
Cr 0.0000 0.5000 0.0000  2 V 2.14
Cr 0.0000 0.0000 0.5000  2 V 2.14
Cr 0.5000 0.0000 0.0000  2 V 2.14
V 0.0000 0.0000 0.0000  6 Cr 2.14
Li 0.5000 0.5000 0.5000  12 Cr 3.03

Energy above the lowest structure with this stoichiometry: 0.000 eV per atom

2.
Here is a relaxed structure of LiVCr3 from Alexandria. Energies are from PBE.

Cell: 3.9686 3.9686 3.9686 Å, 90.00 90.00 90.00°
Closest atoms and distances in Å follow each position.
Fractional coordinates of all 5 atoms:
Cr 0.0000 0.5000 0.0000  2 Li 1.98
Cr 0.0000 0.0000 0.5000  2 Li 1.98
Cr 0.5000 0.0000 0.0000  2 Li 1.98
V 0.5000 0.5000 0.5000  12 Cr 2.81
Li 0.0000 0.0000 0.0000  6 Cr 1.98

Energy above the lowest structure with this stoichiometry: 0.038 eV per atom

3.
Here is a relaxed structure of LiVCr2 from Alexandria. Energies are from PBE.

Cell: 6.3868 6.3868 5.1403 Å, 51.59 51.59 90.00°
Closest atoms and distances in Å follow each position.
Fractional coordinates of all 8 atoms:
Cr 0.6205 0.1250 0.2500  2 Li 2.32, 2 V 2.36, 2 Cr 2.46
Cr 0.1295 0.6250 0.2500  2 Li 2.32, 2 V 2.36, 2 Cr 2.46
Cr 0.3750 0.3795 0.7500  2 Li 2.32, 2 V 2.36, 2 Cr 2.46
Cr 0.8750 0.8705 0.7500  2 Li 2.32, 2 V 2.36, 2 Cr 2.46
V 0.0000 0.0000 0.0000  4 Cr 2.36, 2 Li 2.46
V 0.7500 0.2500 0.5000  4 Cr 2.36, 2 Li 2.46
Li 0.5000 0.5000 0.0000  4 Cr 2.32, 2 V 2.46
Li 0.2500 0.7500 0.5000  4 Cr 2.32, 2 V 2.46

4.
Here is a relaxed structure of LiV3Cr from Alexandria. Energies are from PBE.

Cell: 4.3602 4.3602 4.3602 Å, 90.00 90.00 90.00°
Closest atoms and distances in Å follow each position.
Fractional coordinates of all 5 atoms:
Cr 0.0000 0.0000 0.0000  6 V 2.18
V 0.0000 0.5000 0.0000  2 Cr 2.18
V 0.0000 0.0000 0.5000  2 Cr 2.18
V 0.5000 0.0000 0.0000  2 Cr 2.18
Li 0.5000 0.5000 0.5000  12 V 3.08

Energy above the lowest structure with this stoichiometry: 0.000 eV per atom

5.
Here is a relaxed structure of LiCr2W from Alexandria. Energies are from PBE.

Cell: 4.1638 2.5447 4.9749 Å, 80.85 90.00 90.00°
Closest atoms and distances in Å follow each position.
Fractional coordinates of all 4 atoms:
Cr 0.0000 0.0257 0.0147  4 Cr 2.48-2.54, 3 Li 2.58-2.78, 2 W 2.61
Cr 0.5000 0.2676 0.2388  4 Cr 2.48-2.54, 2 Li 2.52, 2 W 2.53-2.69
Li 0.0000 0.4596 0.4934  5 Cr 2.52-2.78, 2 Li 2.54, 2 W 2.62
W 0.5000 0.7471 0.7531  4 Cr 2.53-2.69, 2 W 2.54, 2 Li 2.62

Energy above the lowest structure with this stoichiometry: 0.072 eV per atom

6.
Here is a relaxed structure of LiCrW from Alexandria. Energies are from PBE.

Cell: 6.9929 6.9929 6.9929 Å, 159.06 159.06 29.78°
Closest atoms and distances in Å follow each position.
Fractional coordinates of all 3 atoms:
Cr 0.0007 0.0007 0.0000  4 Cr 2.54, 4 W 2.83
Li 0.3369 0.3369 0.0000  4 Li 2.54
W 0.6624 0.6624 0.0000  4 W 2.54, 4 Cr 2.83

Energy above the lowest structure with this stoichiometry: 0.189 eV per atom

7.
Here is a relaxed structure of LiCr2W from Alexandria. Energies are from PBE.

Cell: 4.4858 4.4858 4.9775 Å, 88.17 88.17 31.94°
Closest atoms and distances in Å follow each position.
Fractional coordinates of all 4 atoms:
Cr 0.9980 0.9980 0.9914  3 Cr 2.47, 1 W 2.56, 2 Li 2.71
Cr 0.7530 0.7530 0.7490  3 Cr 2.47, 3 Li 2.52-2.71
Li 0.5007 0.5007 0.5072  2 Li 2.47, 5 Cr 2.52-2.71, 3 W 2.56-2.74
W 0.2484 0.2484 0.2523  2 W 2.47, 3 Li 2.56-2.74, 3 Cr 2.56-2.76

Energy above the lowest structure with this stoichiometry: 0.184 eV per atom

8.
Here is a relaxed structure of LiCrW2 from Alexandria. Energies are from PBE.

Cell: 2.5886 2.5886 9.0645 Å, 90.00 90.00 90.00°
Closest atoms and distances in Å follow each position.
Fractional coordinates of all 4 atoms:
Cr 0.0000 0.0000 0.4984  4 Cr 2.59, 4 W 2.84, 4 Li 2.87
Li 0.5000 0.5000 0.7426  4 Li 2.59, 4 Cr 2.87
W 0.0000 0.0000 0.9995  4 W 2.59
W 0.5000 0.5000 0.2594  4 W 2.59, 4 Cr 2.84

Energy above the lowest structure with this stoichiometry: 0.241 eV per atom

Computed values of energy of formation from the pure elements (unit: eV per atom) for the preceding records, in sequence: 1.33 1.37 0.82 0.94 0.41 0.63 0.52 0.57.